# 1
The following is a PBE calculation of a relaxed LaBeRh2 crystal, from Alexandria.

## Properties
The formation energy comes out at -0.293 eV/atom.

```
data_LaBeRh2
_chemical_formula_sum 'La4 Be4 Rh8'
_symmetry_space_group_name_H-M 'I -4 2 d'
_symmetry_Int_Tables_number 122
_symmetry_space_group_name_Hall 'I -4 2bw'
_cell_length_a 4.7378
_cell_length_b 4.7378
_cell_length_c 14.7032
_cell_angle_alpha 90.00
_cell_angle_beta 90.00
_cell_angle_gamma 90.00
loop_
_atom_site_label
_atom_site_type_symbol
_atom_site_fract_x
_atom_site_fract_y
_atom_site_fract_z
_atom_site_occupancy
La1 La 0.0000 0.0000 0.0000 1
Be1 Be 0.0000 0.0000 0.5000 1
Rh1 Rh 0.0919 0.2500 0.6250 1
```


# 2
The following is a PBE calculation of a relaxed ZnTe2As crystal, from Alexandria.

## Properties
As for the formation energy without anion corrections: 0.02 eV/atom. For the offset from the most stable computed form, the calculation gives 84 meV/atom.

```
data_ZnTe2As
_chemical_formula_sum 'Zn3 Te6 As3'
_symmetry_space_group_name_H-M 'R 3 m'
_symmetry_Int_Tables_number 160
_symmetry_space_group_name_Hall 'R 3 -2"'
_cell_length_a 4.1023
_cell_length_b 4.1023
_cell_length_c 21.1647
_cell_angle_alpha 90.00
_cell_angle_beta 90.00
_cell_angle_gamma 120.00
loop_
_atom_site_label
_atom_site_type_symbol
_atom_site_fract_x
_atom_site_fract_y
_atom_site_fract_z
_atom_site_occupancy
Zn1 Zn 0.0000 0.0000 0.0000 1
Te1 Te 0.0000 0.0000 0.5100 1
Te2 Te 0.0000 0.0000 0.7279 1
As1 As 0.0000 0.0000 0.2530 1
```


# 3
The following is a PBE calculation of a relaxed Dy5Er3Bi8 crystal, from Alexandria.

## Properties
The formation energy comes out at -0.840 eV/atom.

```
data_Dy5Er3Bi8
_chemical_formula_sum 'Dy15 Er9 Bi24'
_symmetry_space_group_name_H-M 'R -3 m'
_symmetry_Int_Tables_number 166
_symmetry_space_group_name_Hall '-R 3 2"'
_cell_length_a 8.9262
_cell_length_b 8.9262
_cell_length_c 21.8596
_cell_angle_alpha 90.00
_cell_angle_beta 90.00
_cell_angle_gamma 120.00
loop_
_atom_site_label
_atom_site_type_symbol
_atom_site_fract_x
_atom_site_fract_y
_atom_site_fract_z
_atom_site_occupancy
Dy1 Dy 0.0000 0.0000 0.0000 1
Dy2 Dy 0.0000 0.0000 0.5000 1
Dy3 Dy 0.0000 0.5000 0.0000 1
Er1 Er 0.0000 0.5000 0.5000 1
Bi1 Bi 0.0000 0.0000 0.2493 1
Bi2 Bi 0.0010 0.5005 0.7505 1
```


# 4
The following is a PBE calculation of a relaxed ZrTc crystal, from Alexandria.

## Properties
The formation energy comes out at 1.369 eV/atom.

```
data_ZrTc
_chemical_formula_sum 'Zr8 Tc8'
_symmetry_space_group_name_H-M 'I -4 3 m'
_symmetry_Int_Tables_number 217
_symmetry_space_group_name_Hall 'I -4 2 3'
_cell_length_a 7.8318
_cell_length_b 7.8318
_cell_length_c 7.8318
_cell_angle_alpha 90.00
_cell_angle_beta 90.00
_cell_angle_gamma 90.00
loop_
_atom_site_label
_atom_site_type_symbol
_atom_site_fract_x
_atom_site_fract_y
_atom_site_fract_z
_atom_site_occupancy
Zr1 Zr 0.2097 0.2097 0.2097 1
Tc1 Tc 0.1210 0.1210 0.8790 1
```


# 5
The following is a PBE calculation of a relaxed Tb2DyY2Er crystal, from Alexandria.

## Properties
The formation energy comes out at 0.289 eV/atom.

```
data_Tb2DyY2Er
_chemical_formula_sum 'Tb4 Dy2 Y4 Er2'
_symmetry_space_group_name_H-M 'P n n m'
_symmetry_Int_Tables_number 58
_symmetry_space_group_name_Hall '-P 2 2n'
_cell_length_a 6.6222
_cell_length_b 17.5947
_cell_length_c 3.3623
_cell_angle_alpha 90.00
_cell_angle_beta 90.00
_cell_angle_gamma 90.00
loop_
_atom_site_label
_atom_site_type_symbol
_atom_site_fract_x
_atom_site_fract_y
_atom_site_fract_z
_atom_site_occupancy
Tb1 Tb 0.2405 0.1778 0.0000 1
Dy1 Dy 0.0000 0.5000 0.0000 1
Y1 Y 0.2361 0.3497 0.5000 1
Er1 Er 0.0000 0.0000 0.0000 1
```


# 6
The following is a PBE calculation of a relaxed NdPu2ThTe5 crystal, from Alexandria.

## Properties
As for the formation energy without anion corrections: -0.48 eV/atom.

```
data_NdPu2ThTe5
_chemical_formula_sum 'Nd1 Pu2 Th1 Te5'
_symmetry_space_group_name_H-M 'P 4/m m m'
_symmetry_Int_Tables_number 123
_symmetry_space_group_name_Hall '-P 4 2'
_cell_length_a 5.6931
_cell_length_b 5.6931
_cell_length_c 11.9102
_cell_angle_alpha 90.00
_cell_angle_beta 90.00
_cell_angle_gamma 90.00
loop_
_atom_site_label
_atom_site_type_symbol
_atom_site_fract_x
_atom_site_fract_y
_atom_site_fract_z
_atom_site_occupancy
Nd1 Nd 0.0000 0.0000 0.0000 1
Pu1 Pu 0.5000 0.5000 0.1513 1
Th1 Th 0.0000 0.0000 0.5000 1
Te1 Te 0.0000 0.0000 0.2569 1
Te2 Te 0.0000 0.5000 0.0000 1
Te3 Te 0.5000 0.5000 0.5000 1
```


# 7
The following is a PBE calculation of a relaxed Pd2RhF crystal, from Alexandria.

## Properties
As for the formation energy without anion corrections: 0.13 eV/atom. For the offset from the most stable computed form, the calculation gives 0 meV/atom.

```
data_Pd2RhF
_chemical_formula_sum 'Pd8 Rh4 F4'
_symmetry_space_group_name_H-M 'F m -3 m'
_symmetry_Int_Tables_number 225
_symmetry_space_group_name_Hall '-F 4 2 3'
_cell_length_a 6.1122
_cell_length_b 6.1122
_cell_length_c 6.1122
_cell_angle_alpha 90.00
_cell_angle_beta 90.00
_cell_angle_gamma 90.00
loop_
_atom_site_label
_atom_site_type_symbol
_atom_site_fract_x
_atom_site_fract_y
_atom_site_fract_z
_atom_site_occupancy
Pd1 Pd 0.2500 0.2500 0.2500 1
Rh1 Rh 0.0000 0.0000 0.0000 1
F1 F 0.0000 0.0000 0.5000 1
```


# 8
The following is a PBE calculation of a relaxed CaTcAs2C crystal, from Alexandria.

## Properties
The formation energy comes out at 0.301 eV/atom.

```
data_CaTcAs2C
_chemical_formula_sum 'Ca1 Tc1 As2 C1'
_symmetry_space_group_name_H-M 'P 4/m m m'
_symmetry_Int_Tables_number 123
_symmetry_space_group_name_Hall '-P 4 2'
_cell_length_a 5.0566
_cell_length_b 5.0566
_cell_length_c 3.8920
_cell_angle_alpha 90.00
_cell_angle_beta 90.00
_cell_angle_gamma 90.00
loop_
_atom_site_label
_atom_site_type_symbol
_atom_site_fract_x
_atom_site_fract_y
_atom_site_fract_z
_atom_site_occupancy
Ca1 Ca 0.0000 0.0000 0.0000 1
Tc1 Tc 0.5000 0.5000 0.5000 1
As1 As 0.0000 0.5000 0.5000 1
C1 C 0.5000 0.5000 0.0000 1
```


# 9
The following is a PBE calculation of a relaxed La2AlF8 crystal, from Alexandria.

## Properties
As for the formation energy without anion corrections: -3.71 eV/atom.

```
data_La2AlF8
_chemical_formula_sum 'La4 Al2 F16'
_symmetry_space_group_name_H-M 'C 1 2/m 1'
_symmetry_Int_Tables_number 12
_symmetry_space_group_name_Hall '-C 2y'
_cell_length_a 9.9038
_cell_length_b 7.4123
_cell_length_c 4.8027
_cell_angle_alpha 90.00
_cell_angle_beta 108.74
_cell_angle_gamma 90.00
loop_
_atom_site_label
_atom_site_type_symbol
_atom_site_fract_x
_atom_site_fract_y
_atom_site_fract_z
_atom_site_occupancy
La1 La 0.1773 0.0000 0.3678 1
Al1 Al 0.0000 0.5000 0.0000 1
F1 F 0.0881 0.0000 0.8041 1
F2 F 0.1161 0.5000 0.7811 1
F3 F 0.1169 0.3267 0.2383 1
```


# 10
The following is a PBE calculation of a relaxed Dy3Tm2Sc7 crystal, from Alexandria.

## Properties
The formation energy comes out at 0.256 eV/atom.

```
data_Dy3Tm2Sc7
_chemical_formula_sum 'Dy3 Tm2 Sc7'
_symmetry_space_group_name_H-M 'P 1 2/m 1'
_symmetry_Int_Tables_number 10
_symmetry_space_group_name_Hall '-P 2y'
_cell_length_a 3.4937
_cell_length_b 5.2595
_cell_length_c 18.9545
_cell_angle_alpha 90.00
_cell_angle_beta 95.29
_cell_angle_gamma 90.00
loop_
_atom_site_label
_atom_site_type_symbol
_atom_site_fract_x
_atom_site_fract_y
_atom_site_fract_z
_atom_site_occupancy
Dy1 Dy 0.0000 0.0000 0.0000 1
Dy2 Dy 0.3276 0.5000 0.6557 1
Tm1 Tm 0.1368 0.0000 0.2730 1
Sc1 Sc 0.0825 0.5000 0.1645 1
Sc2 Sc 0.2164 0.0000 0.4328 1
Sc3 Sc 0.4324 0.0000 0.8654 1
Sc4 Sc 0.5000 0.5000 0.0000 1
```


# 11
The following is a PBE calculation of a relaxed FeSi2Ru crystal, from Alexandria.

## Properties
As for the formation energy without anion corrections: -0.15 eV/atom.

```
data_FeSi2Ru
_chemical_formula_sum 'Fe2 Si4 Ru2'
_symmetry_space_group_name_H-M 'C m m m'
_symmetry_Int_Tables_number 65
_symmetry_space_group_name_Hall '-C 2 2'
_cell_length_a 2.8712
_cell_length_b 4.7350
_cell_length_c 7.4937
_cell_angle_alpha 90.00
_cell_angle_beta 90.00
_cell_angle_gamma 90.00
loop_
_atom_site_label
_atom_site_type_symbol
_atom_site_fract_x
_atom_site_fract_y
_atom_site_fract_z
_atom_site_occupancy
Fe1 Fe 0.0000 0.0000 0.0000 1
Si1 Si 0.0000 0.5000 0.2392 1
Ru1 Ru 0.0000 0.0000 0.5000 1
```


# 12
The following is a PBE calculation of a relaxed PrAg4Pb crystal, from Alexandria.

## Properties
The formation energy comes out at -0.167 eV/atom.

```
data_PrAg4Pb
_chemical_formula_sum 'Pr4 Ag16 Pb4'
_symmetry_space_group_name_H-M 'F -4 3 m'
_symmetry_Int_Tables_number 216
_symmetry_space_group_name_Hall 'F -4 2 3'
_cell_length_a 8.1225
_cell_length_b 8.1225
_cell_length_c 8.1225
_cell_angle_alpha 90.00
_cell_angle_beta 90.00
_cell_angle_gamma 90.00
loop_
_atom_site_label
_atom_site_type_symbol
_atom_site_fract_x
_atom_site_fract_y
_atom_site_fract_z
_atom_site_occupancy
Pr1 Pr 0.0000 0.0000 0.0000 1
Ag1 Ag 0.1252 0.1252 0.3748 1
Pb1 Pb 0.2500 0.2500 0.7500 1
```


Number 1: total moment 0.0 μB/cell. Number 2: total moment 0.0 μB/cell. Number 3: total moment 0.0 μB/cell. Number 4: total moment 0.1 μB/cell. Number 5: total moment 0.0 μB/cell. Number 6: total moment 12.7 μB/cell. Number 7: total moment 0.0 μB/cell. Number 8: total moment 0.0 μB/cell. Number 9: total moment 2.0 μB/cell. Number 10: total moment 1.4 μB/cell. Number 11: total moment 1.9 μB/cell. Number 12: total moment 0.0 μB/cell.